A plane-wave DFT calculation with PBE was carried out for a geometry-optimized Mg2AlPt structure.

Results
As for the crystal system: orthorhombic. For the energy of formation, the calculation gives -0.5057 eV/atom.

Cell lengths 3.2632, 3.4290, 6.3474 Å; angles 90.00, 90.00, 90.00 degrees
Last column: nearest neighbours and their distance in Å.
Positions (direct):
Al (0.5000, 0.5000, 0.7116)  4 Pt 2.63, 5 Mg 2.76-2.92
Mg (0.0000, 0.0000, 0.9800)  1 Pt 2.85, 4 Al 2.92, 4 Mg 3.03
Mg (0.5000, 0.5000, 0.2770)  1 Al 2.76, 4 Pt 2.87, 4 Mg 3.03
Pt (0.0000, 0.0000, 0.5314)  4 Al 2.63, 5 Mg 2.85-2.87



A plane-wave DFT calculation with PBE was carried out for a geometry-optimized Mn2NiIr9 structure.

Results
As for the crystal system: tetragonal. For the energy of formation, the calculation gives -0.0912 eV/atom.

Cell lengths 3.8131, 3.8131, 11.4559 Å; angles 90.00, 90.00, 90.00 degrees
Last column: nearest neighbours and their distance in Å.
Positions (direct):
Mn (0.0000, 0.0000, 0.3297)  12 Ir 2.65-2.73
Mn (0.0000, 0.0000, 0.6703)  12 Ir 2.65-2.73
Ni (0.0000, 0.0000, 0.0000)  12 Ir 2.70-2.71
Ir (0.5000, 0.5000, 0.0000)  4 Ni 2.70, 8 Ir 2.71
Ir (0.5000, 0.5000, 0.3339)  8 Ir 2.69, 4 Mn 2.70
Ir (0.5000, 0.5000, 0.6661)  8 Ir 2.69, 4 Mn 2.70
Ir (0.5000, 0.0000, 0.1687)  2 Mn 2.65, 8 Ir 2.69-2.71, 2 Ni 2.71
Ir (0.5000, 0.0000, 0.5000)  8 Ir 2.69-2.70, 4 Mn 2.73
Ir (0.5000, 0.0000, 0.8313)  2 Mn 2.65, 8 Ir 2.69-2.71, 2 Ni 2.71
Ir (0.0000, 0.5000, 0.1687)  2 Mn 2.65, 8 Ir 2.69-2.71, 2 Ni 2.71
Ir (0.0000, 0.5000, 0.5000)  8 Ir 2.69-2.70, 4 Mn 2.73
Ir (0.0000, 0.5000, 0.8313)  2 Mn 2.65, 8 Ir 2.69-2.71, 2 Ni 2.71



A plane-wave DFT calculation with PBE was carried out for a geometry-optimized Nd4YEr2 structure.

Results
As for the crystal system: orthorhombic. The excess energy over the best structure of this formula in the dataset comes out at 0 meV per atom. For the energy of formation, the calculation gives 0.0573 eV/atom.

Cell lengths 12.5915, 12.5915, 6.8193 Å; angles 97.02, 97.03, 150.18 degrees
Last column: nearest neighbours and their distance in Å.
Positions (direct):
Nd (0.7126, 0.1751, 0.8616)  5 Nd 3.44-3.61, 2 Er 3.57-3.60, 2 Y 3.60-3.65
Nd (0.1750, 0.7127, 0.3616)  5 Nd 3.44-3.61, 2 Er 3.57-3.60, 2 Y 3.60-3.65
Nd (0.1861, 0.7945, 0.8953)  4 Nd 3.44-3.67, 4 Er 3.44-3.67, 2 Y 3.70-3.75
Nd (0.7945, 0.1862, 0.3953)  4 Nd 3.44-3.67, 4 Er 3.44-3.67, 2 Y 3.70-3.75
Nd (0.0402, 0.1486, 0.6050)  4 Er 3.44-3.67, 4 Nd 3.45-3.67, 2 Y 3.69-3.76
Nd (0.5630, 0.6004, 0.1381)  5 Nd 3.45-3.61, 2 Er 3.58-3.60, 2 Y 3.60-3.66
Nd (0.6005, 0.5629, 0.6381)  5 Nd 3.45-3.61, 2 Er 3.57-3.60, 2 Y 3.60-3.65
Nd (0.1487, 0.0401, 0.1051)  4 Er 3.44-3.67, 4 Nd 3.45-3.67, 2 Y 3.69-3.75
Y (0.4228, 0.6728, 0.5004)  4 Er 3.47-3.61, 8 Nd 3.60-3.76
Y (0.6727, 0.4227, 0.0004)  4 Er 3.47-3.61, 8 Nd 3.60-3.75
Er (0.6205, 0.3026, 0.4510)  6 Nd 3.44-3.67, 2 Y 3.47-3.61, 2 Er 3.69
Er (0.9201, 0.1020, 0.0500)  6 Nd 3.44-3.67, 2 Y 3.47-3.61, 2 Er 3.69
Er (0.1021, 0.9201, 0.5500)  6 Nd 3.44-3.67, 2 Y 3.47-3.61, 2 Er 3.69
Er (0.3025, 0.6205, 0.9510)  6 Nd 3.44-3.67, 2 Y 3.47-3.61, 2 Er 3.69



A plane-wave DFT calculation with PBE was carried out for a geometry-optimized Na3FeB structure.

Results
As for the crystal system: cubic. The excess energy over the best structure of this formula in the dataset comes out at 379 meV per atom. For the energy of formation, the calculation gives 1.7208 eV/atom.

Cell lengths 5.3598, 5.3598, 5.3598 Å; angles 90.00, 90.00, 90.00 degrees
Last column: nearest neighbours and their distance in Å.
Positions (direct):
Na (0.0000, 0.5000, 0.0000)  2 Fe 2.68
Na (0.0000, 0.0000, 0.5000)  2 Fe 2.68
Na (0.5000, 0.0000, 0.0000)  2 Fe 2.68
B (0.5000, 0.5000, 0.5000)  12 Na 3.79
Fe (0.0000, 0.0000, 0.0000)  6 Na 2.68



A plane-wave DFT calculation with PBE was carried out for a geometry-optimized Mn2CdI structure.

Results
As for the crystal system: tetragonal. The excess energy over the best structure of this formula in the dataset comes out at 0 meV per atom. Its energy relative to the elements, uncorrected is 0.665 eV/atom.

Cell lengths 7.6949, 7.6949, 6.3377 Å; angles 52.62, 52.62, 90.00 degrees
Last column: nearest neighbours and their distance in Å.
Positions (direct):
I (0.0000, 0.0000, 0.0000)  4 Mn 2.86
I (0.7500, 0.2500, 0.5000)  4 Mn 2.86
Mn (0.6216, 0.1250, 0.2500)  2 Cd 2.82, 2 I 2.86
Mn (0.1284, 0.6250, 0.2500)  2 Cd 2.82, 2 I 2.86
Mn (0.3750, 0.3784, 0.7500)  2 Cd 2.82, 2 I 2.86
Mn (0.8750, 0.8716, 0.7500)  2 Cd 2.82, 2 I 2.86
Cd (0.5000, 0.5000, 0.0000)  4 Mn 2.82
Cd (0.2500, 0.7500, 0.5000)  4 Mn 2.82



A plane-wave DFT calculation with PBE was carried out for a geometry-optimized PuHfBe2 structure.

Results
As for the crystal system: tetragonal. The excess energy over the best structure of this formula in the dataset comes out at 0 meV per atom. For the energy of formation, the calculation gives 0.1291 eV/atom.

Cell lengths 3.1827, 3.1827, 6.6431 Å; angles 90.00, 90.00, 90.00 degrees
Last column: nearest neighbours and their distance in Å.
Positions (direct):
Be (0.0000, 0.0000, 0.7880)  4 Hf 2.65, 1 Be 2.82, 4 Pu 2.95
Be (0.0000, 0.0000, 0.2120)  4 Hf 2.65, 1 Be 2.82, 4 Pu 2.95
Hf (0.5000, 0.5000, 0.0000)  8 Be 2.65
Pu (0.5000, 0.5000, 0.5000)  8 Be 2.95, 4 Pu 3.18



A plane-wave DFT calculation with PBE was carried out for a geometry-optimized Tm3Te2S structure.

Results
As for the crystal system: orthorhombic. The excess energy over the best structure of this formula in the dataset comes out at 71 meV per atom. Its energy relative to the elements, uncorrected is -1.355 eV/atom.

Cell lengths 7.2439, 7.0815, 7.0815 Å; angles 121.51, 90.00, 90.00 degrees
Last column: nearest neighbours and their distance in Å.
Positions (direct):
Tm (0.4696, 0.1409, 0.8591)  2 S 2.78, 4 Te 3.02-3.11
Tm (0.9696, 0.1409, 0.8591)  2 S 2.78, 4 Te 3.02-3.11
Tm (0.4697, 0.5001, 0.5001)  2 S 2.90, 4 Te 3.02
Tm (0.9697, 0.4999, 0.4999)  2 S 2.90, 4 Te 3.02
Tm (0.9696, 0.8591, 0.1409)  2 S 2.78, 4 Te 3.02-3.11
Tm (0.4696, 0.8591, 0.1409)  2 S 2.78, 4 Te 3.02-3.11
Te (0.7196, 0.1687, 0.5178)  6 Tm 3.02-3.11
Te (0.2196, 0.4822, 0.8313)  6 Tm 3.02-3.11
Te (0.2196, 0.8313, 0.4822)  6 Tm 3.02-3.11
Te (0.7196, 0.5178, 0.1687)  6 Tm 3.02-3.11
S (0.7196, 0.8279, 0.8279)  6 Tm 2.78-2.90
S (0.2196, 0.1721, 0.1721)  6 Tm 2.78-2.90



A plane-wave DFT calculation with PBE was carried out for a geometry-optimized VIr3I structure.

Results
As for the crystal system: cubic. The excess energy over the best structure of this formula in the dataset comes out at 682 meV per atom. Its energy relative to the elements, uncorrected is 2.073 eV/atom.

Cell lengths 4.8321, 4.8321, 4.8321 Å; angles 90.00, 90.00, 90.00 degrees
Last column: nearest neighbours and their distance in Å.
Positions (direct):
I (0.0000, 0.0000, 0.0000)  6 Ir 2.42
Ir (0.0000, 0.5000, 0.0000)  2 I 2.42
Ir (0.0000, 0.0000, 0.5000)  2 I 2.42
Ir (0.5000, 0.0000, 0.0000)  2 I 2.42
V (0.5000, 0.5000, 0.5000)  12 Ir 3.42



A plane-wave DFT calculation with PBE was carried out for a geometry-optimized La2Pu3NpTe6 structure.

Results
As for the crystal system: monoclinic. Its energy relative to the elements, uncorrected is -1.170 eV/atom.

Cell lengths 4.4677, 8.9760, 10.0318 Å; angles 103.31, 102.87, 90.00 degrees
Last column: nearest neighbours and their distance in Å.
Positions (direct):
La (0.8341, 0.6668, 0.6681)  6 Te 3.21-3.23
La (0.1659, 0.3332, 0.3319)  6 Te 3.21-3.23
Pu (0.5000, 0.5000, 0.0000)  6 Te 3.13-3.18
Pu (0.8313, 0.1656, 0.6626)  6 Te 3.12-3.15
Pu (0.1687, 0.8344, 0.3374)  6 Te 3.12-3.15
Np (0.5000, 0.0000, 0.0000)  6 Te 3.15-3.16
Te (0.3345, 0.9253, 0.6690)  3 Pu 3.12-3.15, 1 Np 3.15, 2 La 3.22
Te (0.6646, 0.5897, 0.3292)  3 Pu 3.12-3.13, 3 La 3.21-3.22
Te (0.6655, 0.0747, 0.3310)  3 Pu 3.12-3.15, 1 Np 3.15, 2 La 3.22
Te (0.9960, 0.2466, 0.9921)  3 Pu 3.13-3.18, 2 Np 3.16, 1 La 3.23
Te (0.0040, 0.7534, 0.0079)  3 Pu 3.13-3.18, 2 Np 3.16, 1 La 3.23
Te (0.3354, 0.4103, 0.6708)  3 Pu 3.12-3.13, 3 La 3.21-3.22



A plane-wave DFT calculation with PBE was carried out for a geometry-optimized CoCu3Cl9 structure.

Results
As for the crystal system: monoclinic. Its energy relative to the elements, uncorrected is -0.427 eV/atom.

Cell lengths 8.9995, 9.0990, 10.0882 Å; angles 72.96, 63.51, 60.36 degrees
Last column: nearest neighbours and their distance in Å.
Positions (direct):
Co (0.0115, 0.4956, 0.9950)  6 Cl 2.23-2.29
Co (0.4979, 0.9956, 0.4950)  6 Cl 2.23-2.29
Cu (0.7953, 0.5597, 0.6919)  4 Cl 2.23-2.28
Cu (0.9532, 0.0597, 0.1919)  4 Cl 2.23-2.28
Cu (0.0275, 0.9378, 0.7929)  4 Cl 2.24-2.27
Cu (0.2417, 0.4378, 0.2929)  4 Cl 2.24-2.27
Cu (0.5497, 0.2476, 0.7371)  4 Cl 2.22-2.27
Cu (0.4655, 0.7476, 0.2371)  4 Cl 2.22-2.27
Cl (0.4132, 0.1562, 0.3000)  1 Cu 2.24, 1 Co 2.27
Cl (0.1306, 0.6562, 0.8000)  1 Cu 2.24, 1 Co 2.27
Cl (0.2914, 0.2687, 0.9372)  1 Cu 2.26, 1 Co 2.28
Cl (0.5027, 0.7687, 0.4372)  1 Cu 2.26, 1 Co 2.28
Cl (0.2016, 0.0804, 0.6467)  1 Co 2.25, 1 Cu 2.27
Cl (0.0713, 0.5804, 0.1467)  1 Co 2.25, 1 Cu 2.27
Cl (0.7347, 0.7258, 0.0501)  1 Cu 2.27, 1 Co 2.28
Cl (0.4895, 0.2258, 0.5501)  1 Cu 2.27, 1 Co 2.28
Cl (0.7968, 0.9078, 0.3612)  1 Co 2.23, 1 Cu 2.28
Cl (0.9341, 0.4078, 0.8612)  1 Co 2.23, 1 Cu 2.28
Cl (0.5721, 0.8299, 0.6957)  1 Cu 2.28, 1 Co 2.29
Cl (0.9023, 0.3299, 0.1957)  1 Cu 2.28, 1 Co 2.29
Cl (0.4464, 0.5509, 0.1655)  2 Cu 2.22-2.26
Cl (0.8372, 0.0509, 0.6655)  2 Cu 2.22-2.26
Cl (0.5962, 0.4397, 0.7932)  2 Cu 2.25-2.26
Cl (0.1709, 0.9397, 0.2932)  2 Cu 2.25-2.26
Cl (0.8749, 0.0574, 0.0114)  2 Cu 2.23-2.27
Cl (0.0564, 0.5574, 0.5114)  2 Cu 2.23-2.27



A plane-wave DFT calculation with PBE was carried out for a geometry-optimized Tb2EuY structure.

Results
As for the crystal system: trigonal. The excess energy over the best structure of this formula in the dataset comes out at 0 meV per atom. For the energy of formation, the calculation gives 0.0534 eV/atom.

Cell lengths 3.6208, 3.6208, 12.0863 Å; angles 81.39, 81.39, 60.00 degrees
Last column: nearest neighbours and their distance in Å.
Positions (direct):
Eu (0.0000, 0.0000, 0.0000)  6 Eu 3.62, 6 Tb 3.74
Y (0.5000, 0.5000, 0.5000)  6 Tb 3.54, 6 Y 3.62
Tb (0.7535, 0.7535, 0.7396)  3 Y 3.54, 6 Tb 3.62, 3 Eu 3.74
Tb (0.2465, 0.2465, 0.2604)  3 Y 3.54, 6 Tb 3.62, 3 Eu 3.74



Number 1: calculated total energy -15.00 eV for the cell shown. Number 2: calculated total energy -104.96 eV for the cell shown. Number 3: calculated total energy -68.52 eV for the cell shown. Number 4: calculated total energy -10.49 eV for the cell shown. Number 5: calculated total energy -36.29 eV for the cell shown. Number 6: calculated total energy -31.22 eV for the cell shown. Number 7: calculated total energy -63.91 eV for the cell shown. Number 8: calculated total energy -26.89 eV for the cell shown. Number 9: calculated total energy -98.68 eV for the cell shown. Number 10: calculated total energy -83.13 eV for the cell shown. Number 11: calculated total energy -25.79 eV for the cell shown.